1.
DFT (PBE-GGA) results for an optimized crystal structure of BeCrSi2.

Results
Symmetry   I-4m2 (119)
E_form (uncorrected)   -5 kJ per mole of atoms

Cell: 4.4975 4.4975 4.4975 Å, 134.60 134.60 66.16°
With the nearest neighbours (Å) after each atom.
Element x y z (fractional)
Be  0.0000  0.0000  0.0000  8 Si 2.45-2.56, 4 Cr 2.56
Cr  0.7500  0.2500  0.5000  8 Si 2.45-2.56, 4 Be 2.56
Si  0.2500  0.7500  0.5000  4 Cr 2.45, 4 Be 2.56, 4 Si 2.56
Si  0.5000  0.5000  0.0000  4 Be 2.45, 4 Cr 2.56, 4 Si 2.56

---

2.
DFT (PBE-GGA) results for an optimized crystal structure of Na3IrAu.

Results
Symmetry   Pm-3m (221)
Formation enthalpy at 0 K   0.747 eV per atom

Cell: 5.4967 5.4967 5.4967 Å, 90.00 90.00 90.00°
With the nearest neighbours (Å) after each atom.
Element x y z (fractional)
Na  0.0000  0.0000  0.5000  2 Ir 2.75
Na  0.0000  0.5000  0.0000  2 Ir 2.75
Na  0.5000  0.0000  0.0000  2 Ir 2.75
Ir  0.0000  0.0000  0.0000  6 Na 2.75
Au  0.5000  0.5000  0.5000  12 Na 3.89

---

3.
DFT (PBE-GGA) results for an optimized crystal structure of Ti2AgGe.

Results
Symmetry   I-42d (122)
Formation enthalpy at 0 K   0.100 eV per atom

Cell: 5.8055 5.8055 5.8055 Å, 102.56 102.56 124.42°
With the nearest neighbours (Å) after each atom.
Element x y z (fractional)
Ti  0.1134  0.6250  0.9884  2 Ge 2.60, 2 Ti 2.71, 2 Ag 2.71
Ti  0.3750  0.3634  0.4884  2 Ge 2.60, 2 Ti 2.71, 2 Ag 2.71
Ti  0.6366  0.1250  0.0116  2 Ge 2.60, 2 Ti 2.71, 2 Ag 2.71
Ti  0.8750  0.8866  0.5116  2 Ge 2.60, 2 Ti 2.71, 2 Ag 2.71
Ag  0.2500  0.7500  0.5000  2 Ge 2.71, 4 Ti 2.71
Ag  0.5000  0.5000  0.0000  2 Ge 2.71, 4 Ti 2.71
Ge  0.0000  0.0000  0.0000  4 Ti 2.60, 2 Ag 2.71
Ge  0.7500  0.2500  0.5000  4 Ti 2.60, 2 Ag 2.71

---

4.
DFT (PBE-GGA) results for an optimized crystal structure of AgBrO2.

Results
Symmetry   P2/m (10)
E_form (uncorrected)   33 kJ per mole of atoms

Cell: 3.4857 2.9819 5.8541 Å, 90.00 93.01 90.00°
With the nearest neighbours (Å) after each atom.
Element x y z (fractional)
Ag  0.0000  0.0000  0.0000  4 O 2.57
Br  0.5000  0.0000  0.5000  4 O 2.09
O  0.4497  0.5000  0.2512  2 Br 2.09
O  0.5503  0.5000  0.7488  2 Br 2.09

---

5.
DFT (PBE-GGA) results for an optimized crystal structure of K2NaSn.

Results
Symmetry   P4/mmm (123)
Formation enthalpy at 0 K   0.011 eV per atom

Cell: 5.2420 5.2420 5.6805 Å, 90.00 90.00 90.00°
With the nearest neighbours (Å) after each atom.
Element x y z (fractional)
K  0.0000  0.5000  0.0000  4 K 3.71, 4 Na 3.86, 4 Sn 3.86
K  0.5000  0.0000  0.0000  4 K 3.71, 4 Na 3.86, 4 Sn 3.86
Na  0.0000  0.0000  0.5000  4 Sn 3.71, 8 K 3.86
Sn  0.5000  0.5000  0.5000  4 Na 3.71, 8 K 3.86

---

6.
DFT (PBE-GGA) results for an optimized crystal structure of Tl2Sn2Pd7.

Results
Symmetry   Cmmm (65)
Formation enthalpy at 0 K   -0.138 eV per atom

Cell: 6.3290 6.3290 5.8131 Å, 90.00 90.00 96.95°
With the nearest neighbours (Å) after each atom.
Element x y z (fractional)
Tl  0.1892  0.1892  0.0000  6 Pd 2.79-2.93
Tl  0.8108  0.8108  0.0000  6 Pd 2.79-2.93
Sn  0.2786  0.7214  0.5000  7 Pd 2.61-2.64
Sn  0.7214  0.2786  0.5000  7 Pd 2.61-2.64
Pd  0.0000  0.0000  0.5000  2 Sn 2.64
Pd  0.0000  0.5000  0.2381  2 Sn 2.61, 1 Pd 2.77, 2 Tl 2.79
Pd  0.0000  0.5000  0.7619  2 Sn 2.61, 1 Pd 2.77, 2 Tl 2.79
Pd  0.5000  0.0000  0.2381  2 Sn 2.61, 1 Pd 2.77, 2 Tl 2.79
Pd  0.5000  0.0000  0.7619  2 Sn 2.61, 1 Pd 2.77, 2 Tl 2.79
Pd  0.5000  0.5000  0.2297  2 Sn 2.62, 1 Pd 2.67, 2 Tl 2.93
Pd  0.5000  0.5000  0.7703  2 Sn 2.62, 1 Pd 2.67, 2 Tl 2.93

---

Number 1: density of states at the Fermi level 1.26 states/eV per cell, total DFT energy (no corrections) -6.10 eV/atom. Number 2: density of states at the Fermi level 14.27 states/eV per cell, total DFT energy (no corrections) -2.47 eV/atom. Number 3: density of states at the Fermi level 8.77 states/eV per cell, total DFT energy (no corrections) -5.71 eV/atom. Number 4: density of states at the Fermi level 0.76 states/eV per cell, total DFT energy (no corrections) -3.27 eV/atom. Number 5: density of states at the Fermi level 3.69 states/eV per cell, total DFT energy (no corrections) -1.87 eV/atom. Number 6: density of states at the Fermi level 2.77 states/eV per cell, total DFT energy (no corrections) -4.60 eV/atom.